No. 1
Computed, not measured: an optimized crystal structure of Li5AlIn4 at the PBE level of DFT.

Computed properties:
N(E_F) = 3.9 states/eV per cell
space-group type = No. 123
E_form = -0.2290 eV/atom
total magnetization = 0.000 μB/atom

```
data_Li5AlIn4
_cell_length_a 3.366
_cell_length_b 3.366
_cell_length_c 16.672
_cell_angle_alpha 90.00
_cell_angle_beta 90.00
_cell_angle_gamma 90.00
_symmetry_space_group_name_H-M 'P 1'
_symmetry_Int_Tables_number 1
loop_
_symmetry_equiv_pos_as_xyz
'x,y,z'
loop_
_atom_site_label
_atom_site_type_symbol
_atom_site_fract_x
_atom_site_fract_y
_atom_site_fract_z
Li1 Li 0.500 0.500 0.087
Li2 Li 0.500 0.500 0.289
Li3 Li 0.500 0.500 0.500
Li4 Li 0.500 0.500 0.711
Li5 Li 0.500 0.500 0.913
Al1 Al 0.000 0.000 0.000
In1 In 0.000 0.000 0.185
In2 In 0.000 0.000 0.395
In3 In 0.000 0.000 0.605
In4 In 0.000 0.000 0.815
```

---

No. 2
Computed, not measured: an optimized crystal structure of LiAlIn at the PBE level of DFT.

Computed properties:
N(E_F) = 1.8 states/eV per cell
energy above the lowest structure with this stoichiometry = 2 kJ/mol of formula units
space-group type = No. 10
E_form = -0.1085 eV/atom
total magnetization = 0.000 μB/atom

```
data_LiAlIn
_cell_length_a 4.882
_cell_length_b 3.178
_cell_length_c 7.350
_cell_angle_alpha 90.00
_cell_angle_beta 95.35
_cell_angle_gamma 90.00
_symmetry_space_group_name_H-M 'P 1'
_symmetry_Int_Tables_number 1
loop_
_symmetry_equiv_pos_as_xyz
'x,y,z'
loop_
_atom_site_label
_atom_site_type_symbol
_atom_site_fract_x
_atom_site_fract_y
_atom_site_fract_z
Li1 Li 0.272 0.500 0.184
Li2 Li 0.728 0.500 0.816
Al1 Al 0.000 0.500 0.500
Al2 Al 0.500 0.000 0.500
In1 In 0.767 0.000 0.158
In2 In 0.233 0.000 0.842
```

---

No. 3
Computed, not measured: an optimized crystal structure of LiAlIn2 at the PBE level of DFT.

Computed properties:
N(E_F) = 1.2 states/eV per cell
space-group type = No. 12
E_form = -0.0434 eV/atom
total magnetization = 0.000 μB/atom

```
data_LiAlIn2
_cell_length_a 4.911
_cell_length_b 4.911
_cell_length_c 5.761
_cell_angle_alpha 79.32
_cell_angle_beta 79.32
_cell_angle_gamma 39.35
_symmetry_space_group_name_H-M 'P 1'
_symmetry_Int_Tables_number 1
loop_
_symmetry_equiv_pos_as_xyz
'x,y,z'
loop_
_atom_site_label
_atom_site_type_symbol
_atom_site_fract_x
_atom_site_fract_y
_atom_site_fract_z
Al1 Al 0.250 0.250 0.250
In1 In 0.999 0.999 0.996
In2 In 0.501 0.501 0.504
Li1 Li 0.750 0.750 0.750
```

---

No. 4
Computed, not measured: an optimized crystal structure of Li8Al2In at the PBE level of DFT.

Computed properties:
N(E_F) = 3.1 states/eV per cell
space-group type = No. 12
E_form = -0.0563 eV/atom
total magnetization = 0.000 μB/atom

```
data_Li8Al2In
_cell_length_a 4.736
_cell_length_b 7.564
_cell_length_c 7.909
_cell_angle_alpha 61.44
_cell_angle_beta 72.32
_cell_angle_gamma 50.56
_symmetry_space_group_name_H-M 'P 1'
_symmetry_Int_Tables_number 1
loop_
_symmetry_equiv_pos_as_xyz
'x,y,z'
loop_
_atom_site_label
_atom_site_type_symbol
_atom_site_fract_x
_atom_site_fract_y
_atom_site_fract_z
Li1 Li 0.755 0.094 0.268
Li2 Li 0.755 0.361 0.732
Li3 Li 0.183 0.550 0.000
Li4 Li 0.500 0.793 0.414
Li5 Li 0.500 0.207 0.586
Li6 Li 0.817 0.450 0.000
Li7 Li 0.245 0.639 0.268
Li8 Li 0.245 0.906 0.732
Al1 Al 0.000 0.317 0.365
Al2 Al 0.000 0.683 0.635
In1 In 0.500 0.000 0.000
```

---

No. 5
Computed, not measured: an optimized crystal structure of Li7AlIn3 at the PBE level of DFT.

Computed properties:
N(E_F) = 6.6 states/eV per cell
space-group type = No. 63
E_form = -0.1548 eV/atom
total magnetization = 0.000 μB/atom

```
data_Li7AlIn3
_cell_length_a 2.925
_cell_length_b 11.954
_cell_length_c 12.453
_cell_angle_alpha 90.00
_cell_angle_beta 90.00
_cell_angle_gamma 97.03
_symmetry_space_group_name_H-M 'P 1'
_symmetry_Int_Tables_number 1
loop_
_symmetry_equiv_pos_as_xyz
'x,y,z'
loop_
_atom_site_label
_atom_site_type_symbol
_atom_site_fract_x
_atom_site_fract_y
_atom_site_fract_z
Li1 Li 0.367 0.735 0.750
Li2 Li 0.633 0.265 0.250
Li3 Li 0.548 0.097 0.426
Li4 Li 0.452 0.903 0.574
Li5 Li 0.452 0.903 0.926
Li6 Li 0.548 0.097 0.074
Li7 Li 0.429 0.858 0.359
Li8 Li 0.571 0.142 0.641
Li9 Li 0.258 0.516 0.387
Li10 Li 0.742 0.484 0.613
Li11 Li 0.742 0.484 0.887
Li12 Li 0.258 0.516 0.113
Li13 Li 0.429 0.858 0.141
Li14 Li 0.571 0.142 0.859
Al1 Al 0.017 0.034 0.250
Al2 Al 0.983 0.966 0.750
In1 In 0.149 0.297 0.484
In2 In 0.851 0.703 0.516
In3 In 0.162 0.324 0.750
In4 In 0.838 0.676 0.250
In5 In 0.149 0.297 0.016
In6 In 0.851 0.703 0.984
```

---

No. 6
Computed, not measured: an optimized crystal structure of Li2AlIn2 at the PBE level of DFT.

Computed properties:
N(E_F) = 3.1 states/eV per cell
energy above the lowest structure with this stoichiometry = 43 kJ/mol of formula units
space-group type = No. 127
E_form = -0.0533 eV/atom
total magnetization = 0.000 μB/atom

```
data_Li2AlIn2
_cell_length_a 7.050
_cell_length_b 7.050
_cell_length_c 3.974
_cell_angle_alpha 90.00
_cell_angle_beta 90.00
_cell_angle_gamma 90.00
_symmetry_space_group_name_H-M 'P 1'
_symmetry_Int_Tables_number 1
loop_
_symmetry_equiv_pos_as_xyz
'x,y,z'
loop_
_atom_site_label
_atom_site_type_symbol
_atom_site_fract_x
_atom_site_fract_y
_atom_site_fract_z
Li1 Li 0.362 0.862 0.000
Li2 Li 0.862 0.638 0.000
Li3 Li 0.638 0.138 0.000
Li4 Li 0.138 0.362 0.000
Al1 Al 0.000 0.000 0.000
Al2 Al 0.500 0.500 0.000
In1 In 0.165 0.665 0.500
In2 In 0.665 0.835 0.500
In3 In 0.835 0.335 0.500
In4 In 0.335 0.165 0.500
```

---

No. 7
Computed, not measured: an optimized crystal structure of LiAlIn2 at the PBE level of DFT.

Computed properties:
N(E_F) = 1.2 states/eV per cell
space-group type = No. 25
E_form = -0.0335 eV/atom
total magnetization = 0.000 μB/atom

```
data_LiAlIn2
_cell_length_a 3.381
_cell_length_b 4.251
_cell_length_c 5.949
_cell_angle_alpha 90.00
_cell_angle_beta 90.00
_cell_angle_gamma 90.00
_symmetry_space_group_name_H-M 'P 1'
_symmetry_Int_Tables_number 1
loop_
_symmetry_equiv_pos_as_xyz
'x,y,z'
loop_
_atom_site_label
_atom_site_type_symbol
_atom_site_fract_x
_atom_site_fract_y
_atom_site_fract_z
Al1 Al 0.500 0.500 0.753
In1 In 0.000 0.000 0.978
In2 In 0.500 0.500 0.269
Li1 Li 0.000 0.000 0.501
```

---

No. 8
Computed, not measured: an optimized crystal structure of LiAlIn2 at the PBE level of DFT.

Computed properties:
N(E_F) = 1.1 states/eV per cell
space-group type = No. 166
E_form = -0.0563 eV/atom
total magnetization = 0.000 μB/atom

```
data_LiAlIn2
_cell_length_a 9.521
_cell_length_b 9.521
_cell_length_c 9.521
_cell_angle_alpha 19.71
_cell_angle_beta 19.71
_cell_angle_gamma 19.71
_symmetry_space_group_name_H-M 'P 1'
_symmetry_Int_Tables_number 1
loop_
_symmetry_equiv_pos_as_xyz
'x,y,z'
loop_
_atom_site_label
_atom_site_type_symbol
_atom_site_fract_x
_atom_site_fract_y
_atom_site_fract_z
Al1 Al 0.750 0.750 0.750
In1 In 0.998 0.998 0.998
In2 In 0.502 0.502 0.502
Li1 Li 0.250 0.250 0.250
```

---

No. 9
Computed, not measured: an optimized crystal structure of Li8AlIn2 at the PBE level of DFT.

Computed properties:
N(E_F) = 5.2 states/eV per cell
energy above the lowest structure with this stoichiometry = 0 kJ/mol of formula units
space-group type = No. 12
E_form = -0.1106 eV/atom
total magnetization = 0.000 μB/atom

```
data_Li8AlIn2
_cell_length_a 4.613
_cell_length_b 7.023
_cell_length_c 7.023
_cell_angle_alpha 106.15
_cell_angle_beta 90.08
_cell_angle_gamma 90.08
_symmetry_space_group_name_H-M 'P 1'
_symmetry_Int_Tables_number 1
loop_
_symmetry_equiv_pos_as_xyz
'x,y,z'
loop_
_atom_site_label
_atom_site_type_symbol
_atom_site_fract_x
_atom_site_fract_y
_atom_site_fract_z
Li1 Li 0.999 0.965 0.713
Li2 Li 0.999 0.713 0.965
Li3 Li 0.500 0.670 0.670
Li4 Li 0.500 0.241 0.759
Li5 Li 0.500 0.759 0.241
Li6 Li 0.500 0.330 0.330
Li7 Li 0.001 0.287 0.035
Li8 Li 0.001 0.035 0.287
Al1 Al 0.500 0.000 0.000
In1 In 0.000 0.626 0.374
In2 In 0.000 0.374 0.626
```

---

No. 10
Computed, not measured: an optimized crystal structure of LiLuAlIn at the PBE level of DFT.

Computed properties:
N(E_F) = 1.0 states/eV per cell
space-group type = No. 216
E_form = -0.2680 eV/atom
total magnetization = 0.000 μB/atom

```
data_LiLuAlIn
_cell_length_a 4.936
_cell_length_b 4.936
_cell_length_c 4.936
_cell_angle_alpha 60.00
_cell_angle_beta 60.00
_cell_angle_gamma 60.00
_symmetry_space_group_name_H-M 'P 1'
_symmetry_Int_Tables_number 1
loop_
_symmetry_equiv_pos_as_xyz
'x,y,z'
loop_
_atom_site_label
_atom_site_type_symbol
_atom_site_fract_x
_atom_site_fract_y
_atom_site_fract_z
Lu1 Lu 0.500 0.500 0.500
Li1 Li 0.000 0.000 0.000
Al1 Al 0.750 0.750 0.750
In1 In 0.250 0.250 0.250
```

---

No. 11
Computed, not measured: an optimized crystal structure of Li2Mg3AlIn3 at the PBE level of DFT.

Computed properties:
N(E_F) = 2.6 states/eV per cell
space-group type = No. 189
E_form = -0.1187 eV/atom
total magnetization = 0.000 μB/atom

```
data_Li2Mg3AlIn3
_cell_length_a 3.216
_cell_length_b 8.223
_cell_length_c 8.223
_cell_angle_alpha 120.00
_cell_angle_beta 90.00
_cell_angle_gamma 90.00
_symmetry_space_group_name_H-M 'P 1'
_symmetry_Int_Tables_number 1
loop_
_symmetry_equiv_pos_as_xyz
'x,y,z'
loop_
_atom_site_label
_atom_site_type_symbol
_atom_site_fract_x
_atom_site_fract_y
_atom_site_fract_z
Li1 Li 0.500 0.667 0.333
Li2 Li 0.500 0.333 0.667
Mg1 Mg 0.500 0.706 0.000
Mg2 Mg 0.500 0.000 0.706
Mg3 Mg 0.500 0.294 0.294
Al1 Al 0.000 0.000 0.000
In1 In 0.000 0.636 0.636
In2 In 0.000 0.000 0.364
In3 In 0.000 0.364 0.000
```

---

No. 12
Computed, not measured: an optimized crystal structure of LiMgAlIn at the PBE level of DFT.

Computed properties:
N(E_F) = 1.5 states/eV per cell
space-group type = No. 47
E_form = -0.1129 eV/atom
total magnetization = 0.000 μB/atom

```
data_LiMgAlIn
_cell_length_a 4.211
_cell_length_b 4.314
_cell_length_c 4.355
_cell_angle_alpha 90.00
_cell_angle_beta 90.00
_cell_angle_gamma 90.00
_symmetry_space_group_name_H-M 'P 1'
_symmetry_Int_Tables_number 1
loop_
_symmetry_equiv_pos_as_xyz
'x,y,z'
loop_
_atom_site_label
_atom_site_type_symbol
_atom_site_fract_x
_atom_site_fract_y
_atom_site_fract_z
Li1 Li 0.000 0.000 0.000
Mg1 Mg 0.500 0.500 0.000
Al1 Al 0.000 0.500 0.500
In1 In 0.500 0.000 0.500
```

---

No. 13
Computed, not measured: an optimized crystal structure of NaLiAlIn at the PBE level of DFT.

Computed properties:
N(E_F) = 1.8 states/eV per cell
space-group type = No. 216
E_form = -0.0633 eV/atom
total magnetization = 0.000 μB/atom

```
data_NaLiAlIn
_cell_length_a 4.872
_cell_length_b 4.872
_cell_length_c 4.872
_cell_angle_alpha 60.00
_cell_angle_beta 60.00
_cell_angle_gamma 60.00
_symmetry_space_group_name_H-M 'P 1'
_symmetry_Int_Tables_number 1
loop_
_symmetry_equiv_pos_as_xyz
'x,y,z'
loop_
_atom_site_label
_atom_site_type_symbol
_atom_site_fract_x
_atom_site_fract_y
_atom_site_fract_z
Na1 Na 0.250 0.250 0.250
Li1 Li 0.000 0.000 0.000
Al1 Al 0.500 0.500 0.500
In1 In 0.750 0.750 0.750
```